! Np3Nb2MoN6 | Alexandria via LeMat-Bulk | PBE | optimized geometry; values from VASP
&SYSTEM
  ibrav = 0, nat = 12, ntyp = 4
/
ATOMIC_SPECIES
N 14.01 N.upf
Nb 92.91 Nb.upf
Np 237.00 Np.upf
Mo 95.94 Mo.upf
CELL_PARAMETERS angstrom
5.741 0.003 0.001
-2.867 4.974 0.001
-0.957 -1.658 5.173
ATOMIC_POSITIONS crystal
N 0.254 0.254 0.767
N 0.409 0.078 0.234
N 0.922 0.591 0.766
N 0.746 0.746 0.233
N 0.078 0.409 0.234
N 0.591 0.922 0.766
Nb 0.333 0.667 0.000
Nb 0.667 0.333 0.000
Np 0.500 0.500 0.500
Np 0.166 0.834 0.500
Np 0.834 0.166 0.500
Mo 0.000 0.000 0.000
! Density (Mg/m³): 12.10
! Uncorrected formation energy (kJ/mol of formula units): -1170.8
! SG: C2/m, No. 12
! Final energy (Ry/atom): -0.8077